The following is a DFT calculation (PBE) of crystalline Mo2OsW at its relaxed geometry.

Cell: 3.139 3.139 6.347 Å, 90.00 90.00 90.00°
Atoms (fractional coordinates):
Mo 0.000 0.000 0.000
Mo 0.500 0.500 0.236
Os 0.000 0.000 0.505
W 0.500 0.500 0.750

Output
As for the space group: P4mm (99).


The following is a DFT calculation (PBE) of crystalline Mo2OsW at its relaxed geometry.

Cell: 4.902 4.902 4.871 Å, 99.21 99.21 32.96°
Atoms (fractional coordinates):
Mo 0.000 0.000 0.000
Mo 0.239 0.239 0.746
Os 0.739 0.739 0.246
W 0.479 0.479 0.483

Output
As for the space group: Cm (8).


The following is a DFT calculation (PBE) of crystalline MoOsW3 at its relaxed geometry.

Cell: 4.695 4.695 4.695 Å, 90.00 90.00 90.00°
Atoms (fractional coordinates):
Mo 0.000 0.000 0.000
Os 0.500 0.500 0.500
W 0.000 0.500 0.500
W 0.500 0.000 0.500
W 0.500 0.500 0.000

Output
As for the space group: Pm-3m (221).


The following is a DFT calculation (PBE) of crystalline Mo2OsW at its relaxed geometry.

Cell: 4.454 4.454 4.454 Å, 60.00 60.00 60.00°
Atoms (fractional coordinates):
Mo 0.250 0.250 0.250
Mo 0.750 0.750 0.750
Os 0.000 0.000 0.000
W 0.500 0.500 0.500

Output
As for the space group: Fm-3m (225).


The following is a DFT calculation (PBE) of crystalline Mo3OsW at its relaxed geometry.

Cell: 4.644 4.644 4.644 Å, 90.00 90.00 90.00°
Atoms (fractional coordinates):
Mo 0.000 0.000 0.500
Mo 0.000 0.500 0.000
Mo 0.500 0.000 0.000
Os 0.500 0.500 0.500
W 0.000 0.000 0.000

Output
As for the space group: Pm-3m (221).


The following is a DFT calculation (PBE) of crystalline MoOsW at its relaxed geometry.

Cell: 6.390 6.390 6.390 Å, 154.96 154.96 35.71°
Atoms (fractional coordinates):
Mo 0.000 0.000 0.000
Os 0.342 0.342 0.000
W 0.682 0.682 0.000

Output
As for the space group: I4mm (107).


The following is a DFT calculation (PBE) of crystalline Mo2OsW at its relaxed geometry.

Cell: 9.635 9.635 9.635 Å, 16.51 16.51 16.51°
Atoms (fractional coordinates):
Mo 0.000 0.000 0.000
Mo 0.246 0.246 0.246
Os 0.746 0.746 0.746
W 0.493 0.493 0.493

Output
As for the space group: R3m (160).


The following is a DFT calculation (PBE) of crystalline MoOsW at its relaxed geometry.

Cell: 4.428 4.428 2.746 Å, 90.00 90.00 120.00°
Atoms (fractional coordinates):
Mo 0.000 0.000 0.000
Os 0.333 0.667 0.399
W 0.667 0.333 0.725

Output
As for the space group: P3m1 (156).


The following is a DFT calculation (PBE) of crystalline Mo2OsW at its relaxed geometry.

Cell: 4.867 4.867 2.813 Å, 90.00 90.00 110.01°
Atoms (fractional coordinates):
Mo 0.000 0.500 0.000
Mo 0.500 0.000 0.000
Os 0.000 0.000 0.500
W 0.500 0.500 0.500

Output
As for the space group: Cmmm (65).


The following is a DFT calculation (PBE) of crystalline Mo2OsW at its relaxed geometry.

Cell: 4.451 4.451 4.451 Å, 60.00 60.00 60.00°
Atoms (fractional coordinates):
Mo 0.000 0.000 0.000
Mo 0.250 0.250 0.250
Os 0.500 0.500 0.500
W 0.750 0.750 0.750

Output
As for the space group: F-43m (216).


The following is a DFT calculation (PBE) of crystalline Mo2OsW at its relaxed geometry.

Cell: 2.763 4.008 5.660 Å, 90.00 90.00 90.00°
Atoms (fractional coordinates):
Mo 0.000 0.000 0.000
Mo 0.500 0.500 0.253
Os 0.000 0.000 0.499
W 0.500 0.500 0.739

Output
As for the space group: Pmm2 (25).


The following is a DFT calculation (PBE) of crystalline Mo2OsW at its relaxed geometry.

Cell: 4.478 4.478 3.113 Å, 90.00 90.00 90.00°
Atoms (fractional coordinates):
Mo 0.000 0.500 0.000
Mo 0.500 0.000 0.000
Os 0.000 0.000 0.500
W 0.500 0.500 0.500

Output
As for the space group: P4/mmm (123).


Number 1: relative energy among the computed polymorphs 31.0 meV/atom. Number 2: relative energy among the computed polymorphs 97.9 meV/atom. Number 3: relative energy among the computed polymorphs 0.0 meV/atom. Number 4: relative energy among the computed polymorphs 54.3 meV/atom. Number 5: relative energy among the computed polymorphs 275.6 meV/atom. Number 6: relative energy among the computed polymorphs 0.0 meV/atom. Number 7: relative energy among the computed polymorphs 159.4 meV/atom. Number 8: relative energy among the computed polymorphs 99.6 meV/atom. Number 9: relative energy among the computed polymorphs 128.8 meV/atom. Number 10: relative energy among the computed polymorphs 18.8 meV/atom. Number 11: relative energy among the computed polymorphs 104.6 meV/atom. Number 12: relative energy among the computed polymorphs 37.7 meV/atom.